Record 1
{"formula": "MnInGaCl4", "functional": "PBE", "state": "relaxed", "e_tot_ev_per_atom": -4.08, "e_form_raw_mev_per_atom": -893, "sg": "P2_1/m (11)", "lattice_angstrom": [[-4.678, 4.292, -3.635], [3.402, -1.629, -6.301], [-3.137, -8.227, 0.433]], "species": ["Cl", "Ga", "Mn", "Mn", "Cl", "Cl", "Ga", "Cl", "In", "Cl", "Cl", "Cl", "In", "Cl"], "frac_coords": [[0.440, 0.750, 0.138], [0.202, 0.250, 0.506], [0.746, 0.250, 0.695], [0.254, 0.750, 0.305], [0.038, 0.001, 0.246], [0.536, 0.250, 0.424], [0.798, 0.750, 0.494], [0.962, 0.501, 0.754], [0.736, 0.750, 0.956], [0.464, 0.750, 0.576], [0.038, 0.499, 0.246], [0.560, 0.250, 0.862], [0.264, 0.250, 0.044], [0.962, 0.999, 0.754]]}

Record 2
{"formula": "ScSi2Au", "functional": "PBE", "state": "relaxed", "e_tot_ev_per_atom": -5.30, "e_form_raw_mev_per_atom": -191, "sg": "Cmmm (65)", "lattice_angstrom": [[3.481, -0.010, 0.000], [-0.996, 3.335, 0.000], [0.000, 0.000, 6.294]], "species": ["Si", "Si", "Au", "Sc"], "frac_coords": [[0.000, 0.000, 0.025], [0.000, 0.000, 0.475], [0.500, 0.500, 0.250], [0.500, 0.500, 0.750]]}

Record 3
{"formula": "PuTlPb6", "functional": "PBE", "state": "relaxed", "e_tot_ev_per_atom": -4.87, "formation_enthalpy_0k_ev_per_atom": 0.00, "sg": "Cmmm (65)", "lattice_angstrom": [[-4.172, -2.226, -3.544], [1.378, -6.255, 2.307], [-4.730, 3.623, 3.294]], "species": ["Pb", "Pb", "Pb", "Pu", "Pb", "Tl", "Pb", "Pb"], "frac_coords": [[0.500, 0.500, 0.000], [0.500, 0.000, 0.500], [0.000, 0.235, 0.765], [0.500, 0.000, 0.000], [0.000, 0.741, 0.741], [0.500, 0.500, 0.500], [0.000, 0.259, 0.259], [0.000, 0.765, 0.235]]}

Q: What is the formula in the third record?
A: PuTlPb6